Record 1
11
Lattice="-0.2698 1.3471 3.8776 1.2210 -5.7051 2.0670 6.1311 3.0479 -2.8144" Properties=species:S:1:pos:R:3 comment="ZnGe2Pd8 | Alexandria via LeMat-Bulk | PBE-GGA | optimized geometry" e_above_lowest_polymorph_mev_per_atom=17.9 crystal_system=monoclinic sg=C2/m pbc="T T T"
Zn -0.1349 0.6736 1.9388
Ge 3.9888 1.1510 2.0599
Ge 3.0935 -2.4611 1.0703
Pd 5.4892 -0.0428 0.3969
Pd 3.1045 -3.4475 3.5959
Pd 4.6051 -1.1160 2.8904
Pd 5.7854 2.8157 1.6066
Pd 2.4772 -0.1941 0.2398
Pd 3.9778 2.1374 -0.4658
Pd 1.5932 -1.2673 2.7333
Pd 1.2969 -4.1258 1.5236


Record 2
10
Lattice="-5.1063 -1.8798 -2.3514 -2.1550 -2.1096 6.3666 -2.8565 6.3409 1.1342" Properties=species:S:1:pos:R:3 comment="LaCe3Pu | Alexandria via LeMat-Bulk | PBE-GGA | optimized geometry" crystal_system=orthorhombic sg=Pma2 pbc="T T T"
La -4.7961 -1.2275 2.0954
La -5.1449 3.0000 -0.5268
Ce -5.6734 2.1471 2.9078
Ce -3.1732 0.0281 -0.8356
Ce -3.5471 5.1075 2.6639
Ce -4.6263 4.0517 5.8482
Ce -2.1180 1.9355 2.0965
Ce -3.1973 0.8797 5.2809
Pu -7.8371 1.3498 1.9164
Pu -5.3328 -0.7663 -1.8351


Record-wise VASP energy values, in eV per atom: -5.14; -7.32
Record-wise E_form values, in eV/atom: -0.4046; 0.0929
Record-wise total magnetic moment values, in μB per formula unit: 0.00; 4.25